Below is TaAl2In after structural relaxation, with properties calculated at the PBE level.

The structure in POSCAR format:
```
TaAl2In
1.0
4.9418 -1.4648 0.0000
4.9418 1.4648 0.0000
-0.6164 0.0000 5.1357
Ta Al In
1 2 1
Cartesian
0.0000 0.0000 0.0000
2.1037 0.0000 4.0096
7.1636 0.0000 1.1261
4.6336 0.0000 2.5678
```

Values from the calculation:
E_tot: -21.82 eV per cell
theoretical density: 7.8 g/cm³
energy of formation from the pure elements: 0.06 eV per atom
space-group type: No. 12

---

Below is Ta4AlIn after structural relaxation, with properties calculated at the PBE level.

The structure in POSCAR format:
```
Ta4AlIn
1.0
0.0000 3.9045 3.9045
3.9045 0.0000 3.9045
3.9045 3.9045 0.0000
Ta Al In
4 1 1
Cartesian
0.9721 0.9721 0.9721
2.9323 2.9323 0.9721
2.9323 0.9721 2.9323
0.9721 2.9323 2.9323
5.8567 5.8567 5.8567
3.9045 3.9045 3.9045
```

Values from the calculation:
E_tot: -51.51 eV per cell
theoretical density: 12.1 g/cm³
energy of formation from the pure elements: 0.40 eV per atom
space-group type: No. 216

---

Below is Ta2AlIn after structural relaxation, with properties calculated at the PBE level.

The structure in POSCAR format:
```
Ta2AlIn
1.0
1.7713 -2.3626 0.0000
1.7713 2.3626 0.0000
0.0000 0.0000 9.0191
Ta Al In
2 1 1
Cartesian
0.0000 0.0000 0.0000
1.7713 0.0000 2.2029
0.0000 0.0000 4.2616
1.7713 0.0000 6.6224
```

Values from the calculation:
E_tot: -29.78 eV per cell
theoretical density: 11.1 g/cm³
energy of formation from the pure elements: 0.10 eV per atom
space-group type: No. 35

---

Below is Ta2AlIn after structural relaxation, with properties calculated at the PBE level.

The structure in POSCAR format:
```
Ta2AlIn
1.0
2.0732 -2.0828 0.0000
2.0732 2.0828 0.0000
0.0000 0.0000 8.4258
Ta Al In
2 1 1
Cartesian
0.0000 0.0000 1.9324
0.0000 0.0000 6.4935
2.0732 0.0000 0.0000
2.0732 0.0000 4.2129
```

Values from the calculation:
E_tot: -30.14 eV per cell
theoretical density: 11.5 g/cm³
energy of formation from the pure elements: 0.01 eV per atom
space-group type: No. 65

---

Below is TaAl2In2 after structural relaxation, with properties calculated at the PBE level.

The structure in POSCAR format:
```
TaAl2In2
1.0
-1.8582 1.8582 7.6901
1.8582 -1.8582 7.6901
1.8582 1.8582 -7.6901
Ta Al In
1 2 2
Cartesian
0.0000 0.0000 0.0000
1.8582 0.0000 3.8450
0.0000 1.8582 3.8450
0.0000 0.0000 6.2029
0.0000 0.0000 9.1773
```

Values from the calculation:
E_tot: -22.02 eV per cell
theoretical density: 7.3 g/cm³
offset from the most stable computed form: 5.727 kcal/mol of atoms
energy of formation from the pure elements: 0.56 eV per atom
space-group type: No. 139

---

Below is TaAl4In after structural relaxation, with properties calculated at the PBE level.

The structure in POSCAR format:
```
TaAl4In
1.0
0.0000 3.7208 3.7208
3.7208 0.0000 3.7208
3.7208 3.7208 0.0000
Ta Al In
1 4 1
Cartesian
0.0000 0.0000 0.0000
4.6529 2.7886 2.7886
2.7886 4.6529 2.7886
2.7886 2.7886 4.6529
4.6529 4.6529 4.6529
1.8604 1.8604 1.8604
```

Values from the calculation:
E_tot: -29.48 eV per cell
theoretical density: 6.5 g/cm³
energy of formation from the pure elements: 0.01 eV per atom
space-group type: No. 216

---

Below is TaAl2In after structural relaxation, with properties calculated at the PBE level.

The structure in POSCAR format:
```
TaAl2In
1.0
2.9406 0.0000 0.0000
0.0000 5.0038 0.0000
0.0000 0.0000 5.0789
Ta Al In
1 2 1
Cartesian
0.0000 0.0000 0.0000
0.0000 2.5019 2.5394
1.4703 2.5019 0.0000
1.4703 0.0000 2.5394
```

Values from the calculation:
E_tot: -21.37 eV per cell
theoretical density: 7.8 g/cm³
energy of formation from the pure elements: 0.18 eV per atom
space-group type: No. 47

---

Below is TaAl2In2 after structural relaxation, with properties calculated at the PBE level.

The structure in POSCAR format:
```
TaAl2In2
1.0
-1.9349 1.9349 7.2222
1.9349 -1.9349 7.2222
1.9349 1.9349 -7.2222
Ta Al In
1 2 2
Cartesian
0.0000 0.0000 0.0000
0.0000 0.0000 5.9854
0.0000 0.0000 8.4591
1.9349 0.0000 3.6111
0.0000 1.9349 3.6111
```

Values from the calculation:
E_tot: -21.75 eV per cell
theoretical density: 7.1 g/cm³
offset from the most stable computed form: 6.986 kcal/mol of atoms
energy of formation from the pure elements: 0.61 eV per atom
space-group type: No. 139